# Zr2Mo

Crystalline Zr2Mo at its relaxed geometry (PBE, Alexandria via LeMat-Bulk).

Calculated values
Energy of formation, meV/atom: 193
Polymorph energy (0 for the lowest one), eV/atom: 0.194

Unit cell a=2.917 b=4.962 c=8.342 alpha=90.00 beta=90.00 gamma=90.00
Space group Immm (No. 71)
Unique sites:
Zr: 0.000 0.000 0.170 [4 per cell]
Mo: 0.000 0.000 0.500 [2 per cell]